Rb3Cd2Cl7 | Alexandria via LeMat-Bulk | GGA-PBE | relaxed; DFT total energy = -3.008 eV per atom; magnetization = 0.0 μB/f.u.; energy relative to the elements, uncorrected = -1535.9 meV/atom; polymorph energy (0 for the lowest one) = 0 meV/atom
1.0
-2.651 2.651 13.354
2.651 -2.651 13.354
2.651 2.651 -13.354
Rb Cd Cl
3 2 7
direct
0.000 0.000 0.000
0.180 0.180 0.000
0.820 0.820 0.000
0.400 0.400 0.000
0.600 0.600 0.000
0.096 0.596 0.500
0.304 0.304 0.000
0.404 0.904 0.500
0.500 0.500 0.000
0.596 0.096 0.500
0.696 0.696 0.000
0.904 0.404 0.500